This record from the Alexandria database describes a geometry-optimized TaMoIO2 structure. The functional is PBE with a Hubbard U.

Its density is 7.7 Mg/m³. As for the energy above the most stable polymorph in this dataset: 1.873 eV/atom. The value obtained for the uncorrected energy is -5.03 eV/atom. The volume is 93.7 Å³/cell. The space group is P4/mmm. The value obtained for the total magnetic moment is 0.401 μB/atom.

Cell lengths 4.023, 5.793, 4.023 Å; angles 90.00, 90.00, 90.00 degrees
Site moments in Bohr magnetons follow the coordinates.
Atoms (fractional coordinates):
Mo 0.500 0.500 0.500  3.12
O 0.000 0.000 0.500  0.00
O 0.500 0.000 0.000  0.00
I 0.000 0.000 0.000  0.02
Ta 0.000 0.500 0.000  -1.11